(1)
{"formula": "Lu2ZnSe", "functional": "PBE", "state": "optimized geometry", "cell": [[1.828, 1.055, 9.508], [-1.828, 1.055, 9.508], [0.000, -2.111, 9.508]], "species": ["Lu", "Lu", "Zn", "Se"], "fractional_positions": [[0.103, 0.103, 0.103], [0.897, 0.897, 0.897], [0.000, 0.000, 0.000], [0.500, 0.500, 0.500]], "e_form_raw_ev_per_atom": -0.4320, "mass_density_g_cm3": 7.46}


(2)
{"formula": "LuZnSe2", "functional": "PBE", "state": "optimized geometry", "cell": [[2.022, 1.167, 8.103], [-2.022, 1.167, 8.103], [0.000, -2.335, 8.103]], "species": ["Lu", "Zn", "Se", "Se"], "fractional_positions": [[0.000, 0.000, 0.000], [0.500, 0.500, 0.500], [0.397, 0.397, 0.397], [0.603, 0.603, 0.603]], "e_form_raw_ev_per_atom": -0.9944, "mass_density_g_cm3": 5.76}